Record 1
Below is a relaxed structure of Re2PtRh, with properties calculated at the GGA-PBE level.

Cell lengths 4.719, 4.719, 4.719 Å; angles 130.56, 130.56, 72.52 degrees
Atoms (fractional coordinates):
Re: 0.000 0.000 0.000
Re: 0.750 0.250 0.500
Pt: 0.250 0.750 0.500
Rh: 0.500 0.500 0.000

Summary:
ΔH_f (0 K)   -0.06 eV/atom
Calculated density   18.78 g/cm³
V   59 Å³ per cell

=====

Record 2
Below is a relaxed structure of RbHgI, with properties calculated at the GGA-PBE level.

Cell lengths 4.805, 4.805, 6.666 Å; angles 111.13, 111.13, 90.00 degrees
Atoms (fractional coordinates):
I: 0.943 0.943 0.886
Hg: 0.613 0.613 0.226
Rb: 0.294 0.294 0.587

Summary:
Calculated density   5.18 g/cm³
ΔE_f (raw)   -0.873 eV per atom
V   132 Å³ per cell

=====

Record 3
Below is a relaxed structure of V2SnCl2, with properties calculated at the GGA-PBE level.

Cell lengths 7.711, 7.711, 3.114 Å; angles 90.00, 90.00, 90.00 degrees
Atoms (fractional coordinates):
V: 0.393 0.893 0.000
V: 0.893 0.607 0.000
V: 0.607 0.107 0.000
V: 0.107 0.393 0.000
Sn: 0.000 0.000 0.000
Sn: 0.500 0.500 0.000
Cl: 0.138 0.638 0.500
Cl: 0.638 0.862 0.500
Cl: 0.862 0.362 0.500
Cl: 0.362 0.138 0.500

Summary:
Calculated density   5.23 g/cm³
ΔE_f (raw)   0.221 eV per atom
V   185 Å³ per cell

=====

Record 4
Below is a relaxed structure of Cu2IrI, with properties calculated at the GGA-PBE level.

Cell lengths 4.523, 4.523, 4.523 Å; angles 60.00, 60.00, 60.00 degrees
Atoms (fractional coordinates):
I: 0.000 0.000 0.000
Ir: 0.500 0.500 0.500
Cu: 0.250 0.250 0.250
Cu: 0.750 0.750 0.750

Summary:
Calculated density   11.32 g/cm³
ΔE_f (raw)   0.859 eV per atom
V   65 Å³ per cell